The following is a DFT calculation (PBE-GGA) of crystalline CoNiRh at its relaxed geometry.

The structure in extended XYZ format:
```
6
Lattice="4.464 0.000 0.000 0.000 2.630 0.000 -1.549 0.000 6.279" Properties=species:S:1:pos:R:3 pbc="T T T"
Co 0.276 0.657 3.110
Co 2.639 1.972 3.169
Ni -1.181 0.657 5.210
Ni 4.096 1.972 1.069
Rh 1.854 0.657 1.108
Rh 1.062 1.972 5.171
```

Computed properties:
Total moment, μB/f.u.: 3.1
Energy of formation from the pure elements, eV per atom: 0.0459
Energy above the most stable polymorph in this dataset, meV per atom: 2.8
Theoretical density, g/cm3: 9.9

***

The following is a DFT calculation (PBE-GGA) of crystalline Co5Ni6Rh at its relaxed geometry.

The structure in extended XYZ format:
```
12
Lattice="1.759 -5.281 0.000 1.759 5.281 0.000 0.000 0.000 7.265" Properties=species:S:1:pos:R:3 pbc="T T T"
Co 0.000 0.000 0.000
Co 1.759 1.827 3.632
Co 1.759 1.754 0.000
Co 1.759 -1.754 0.000
Co 1.759 -1.827 3.632
Ni 1.759 3.504 1.779
Ni 1.759 3.504 5.486
Ni 1.759 0.000 1.764
Ni 1.759 0.000 5.501
Ni 1.759 -3.504 1.779
Ni 1.759 -3.504 5.486
Rh 0.000 0.000 3.632
```

Computed properties:
Total moment, μB/f.u.: 13.3
Energy of formation from the pure elements, eV per atom: 0.0127
Theoretical density, g/cm3: 9.2

***

The following is a DFT calculation (PBE-GGA) of crystalline Co2NiRh at its relaxed geometry.

The structure in extended XYZ format:
```
4
Lattice="3.956 0.000 0.000 0.000 1.287 4.750 0.000 -1.287 4.750" Properties=species:S:1:pos:R:3 pbc="T T T"
Co 0.000 0.000 0.000
Co 1.978 0.000 1.231
Ni 0.000 0.000 6.987
Rh 1.978 0.000 3.683
```

Computed properties:
Total moment, μB/f.u.: 5.1
Energy of formation from the pure elements, eV per atom: 0.0717
Theoretical density, g/cm3: 9.6

***

The following is a DFT calculation (PBE-GGA) of crystalline Co4Ni2Rh at its relaxed geometry.

The structure in extended XYZ format:
```
7
Lattice="-2.219 2.219 5.809 2.219 -2.219 5.809 2.219 2.219 -5.809" Properties=species:S:1:pos:R:3 pbc="T T T"
Co 2.219 0.000 0.000
Co 0.000 0.000 2.388
Co 0.000 2.219 0.000
Co 0.000 0.000 9.231
Ni 0.000 0.000 4.629
Ni 0.000 0.000 6.990
Rh 0.000 0.000 0.000
```

Computed properties:
Total moment, μB/f.u.: 10.1
Energy of formation from the pure elements, eV per atom: 1.2439
Energy above the most stable polymorph in this dataset, meV per atom: 1069.0
Theoretical density, g/cm3: 6.6

***

The following is a DFT calculation (PBE-GGA) of crystalline Co2Ni2Rh at its relaxed geometry.

The structure in extended XYZ format:
```
5
Lattice="4.027 -1.809 0.000 4.027 1.809 0.000 -3.998 0.000 4.029" Properties=species:S:1:pos:R:3 pbc="T T T"
Co -0.375 0.000 1.177
Co 4.431 0.000 2.852
Ni -1.155 0.000 3.624
Ni 5.211 0.000 0.405
Rh 2.028 0.000 2.015
```

Computed properties:
Total moment, μB/f.u.: 5.7
Energy of formation from the pure elements, eV per atom: 0.0174
Energy above the most stable polymorph in this dataset, meV per atom: 0.0
Theoretical density, g/cm3: 9.6

***

The following is a DFT calculation (PBE-GGA) of crystalline Co2NiRh at its relaxed geometry.

The structure in extended XYZ format:
```
4
Lattice="2.593 0.000 0.000 0.000 2.593 0.000 0.000 0.000 7.094" Properties=species:S:1:pos:R:3 pbc="T T T"
Co 0.000 0.000 0.000
Co 1.297 1.297 1.651
Ni 0.000 0.000 3.342
Rh 1.297 1.297 5.228
```

Computed properties:
Total moment, μB/f.u.: 4.8
Energy of formation from the pure elements, eV per atom: 0.0468
Theoretical density, g/cm3: 9.7

***

The following is a DFT calculation (PBE-GGA) of crystalline Co4Ni7Rh at its relaxed geometry.

The structure in extended XYZ format:
```
12
Lattice="4.332 0.000 0.000 0.021 5.064 0.000 2.081 1.240 6.157" Properties=species:S:1:pos:R:3 pbc="T T T"
Co 0.714 2.519 2.069
Co 3.541 5.027 4.072
Co 2.893 1.276 2.085
Co 5.720 3.784 4.088
Ni 0.022 3.767 0.000
Ni 1.398 1.250 4.072
Ni 2.871 3.771 2.077
Ni 2.177 2.532 0.000
Ni 3.563 2.532 4.080
Ni 5.036 5.053 2.086
Ni 6.411 2.536 6.157
Rh 2.166 0.000 0.000
```

Computed properties:
Total moment, μB/f.u.: 12.3
Energy of formation from the pure elements, eV per atom: 0.0086
Energy above the most stable polymorph in this dataset, meV per atom: 0.0
Theoretical density, g/cm3: 9.2

***

The following is a DFT calculation (PBE-GGA) of crystalline Co2Ni3Rh4 at its relaxed geometry.

The structure in extended XYZ format:
```
9
Lattice="6.454 -1.334 0.000 6.454 1.334 0.000 -1.732 0.000 6.701" Properties=species:S:1:pos:R:3 pbc="T T T"
Co 1.375 0.000 2.933
Co 9.801 0.000 3.768
Ni 3.097 0.000 5.941
Ni 5.588 0.000 3.350
Ni 8.079 0.000 0.760
Rh -1.174 0.000 5.498
Rh 3.610 0.000 1.577
Rh 7.567 0.000 5.124
Rh 12.351 0.000 1.203
```

Computed properties:
Total moment, μB/f.u.: 8.5
Energy of formation from the pure elements, eV per atom: 0.0894
Theoretical density, g/cm3: 10.2